No. 1
{
  "formula": "Tb2PmY2Er2",
  "functional": "PBE",
  "state": "optimized geometry",
  "dos_ef_per_ev_cell": 13.71,
  "total_magnetization_mub_per_cell": 0.04,
  "delta_e_f_ev_per_atom": 0.159,
  "sg": "C2/m (12)",
  "lattice": [[3.4849, 0.0000, 0.0000], [-1.7424, 11.1986, -4.4195], [0.0000, -7.6824, 8.9636]],
  "species": ["Tb", "Tb", "Pm", "Y", "Y", "Er", "Er"],
  "frac_coords": [[0.7042, 0.4083, 0.0390], [0.2958, 0.5917, 0.9610], [0.0000, 0.0000, 0.5000], [0.5927, 0.1853, 0.4105], [0.4073, 0.8147, 0.5895], [0.6556, 0.3112, 0.2383], [0.3444, 0.6888, 0.7617]]
}

---

No. 2
{
  "formula": "Tb2Pm6YEr3",
  "functional": "PBE",
  "state": "optimized geometry",
  "dos_ef_per_ev_cell": 13.83,
  "total_magnetization_mub_per_cell": 0.00,
  "delta_e_f_ev_per_atom": 0.013,
  "sg": "C2/m (12)",
  "lattice": [[6.2379, 0.0004, 0.0107], [-3.1172, 5.4033, 0.0107], [-1.0564, -1.8291, 11.6317]],
  "species": ["Tb", "Tb", "Pm", "Pm", "Pm", "Pm", "Pm", "Pm", "Y", "Er", "Er", "Er"],
  "frac_coords": [[0.3333, 0.6667, 0.0000], [0.6667, 0.3333, 0.0000], [0.9158, 0.5818, 0.7484], [0.7502, 0.7502, 0.2517], [0.0842, 0.4182, 0.2516], [0.5818, 0.9158, 0.7484], [0.2498, 0.2498, 0.7483], [0.4182, 0.0842, 0.2516], [0.0000, 0.0000, 0.0000], [0.1666, 0.8334, 0.5000], [0.8334, 0.1666, 0.5000], [0.5000, 0.5000, 0.5000]]
}

---

No. 3
{
  "formula": "TbPmErZn",
  "functional": "PBE",
  "state": "optimized geometry",
  "dos_ef_per_ev_cell": 4.70,
  "de_polymorph_kj_per_mol_atoms": 0.0,
  "total_magnetization_mub_per_cell": 0.00,
  "delta_e_f_ev_per_atom": -0.163,
  "sg": "P4mm (99)",
  "lattice": [[-2.4746, 2.5817, -0.0610], [-0.9971, -0.8772, 3.3210], [5.7818, 5.6180, 3.2199]],
  "species": ["Tb", "Pm", "Er", "Zn"],
  "frac_coords": [[0.5000, 0.5000, 0.7751], [0.0000, 0.0000, 0.0742], [0.5000, 0.5000, 0.3690], [0.0000, 0.0000, 0.5665]]
}

---

No. 4
{
  "formula": "TbPmErZn",
  "functional": "PBE",
  "state": "optimized geometry",
  "dos_ef_per_ev_cell": 4.89,
  "de_polymorph_kj_per_mol_atoms": 18.7,
  "total_magnetization_mub_per_cell": 0.00,
  "delta_e_f_ev_per_atom": 0.031,
  "sg": "F-43m (216)",
  "lattice": [[-0.2140, 5.3197, 0.6777], [-3.0137, 2.0866, 3.9201], [2.3391, 2.2573, 4.2705]],
  "species": ["Zn", "Pm", "Tb", "Er"],
  "frac_coords": [[0.0000, 0.0000, 0.0000], [0.2500, 0.2500, 0.2500], [0.7500, 0.7500, 0.7500], [0.5000, 0.5000, 0.5000]]
}

---

No. 5
{
  "formula": "Tb3Pm2Er6Zr",
  "functional": "PBE",
  "state": "optimized geometry",
  "dos_ef_per_ev_cell": 14.93,
  "total_magnetization_mub_per_cell": 0.00,
  "delta_e_f_ev_per_atom": 0.049,
  "sg": "C2/m (12)",
  "lattice": [[-1.4968, 5.8945, 0.2368], [-3.3161, -3.8433, -3.3576], [-5.1297, -2.7504, 10.0476]],
  "species": ["Tb", "Tb", "Tb", "Pm", "Pm", "Er", "Er", "Er", "Er", "Er", "Er", "Zr"],
  "frac_coords": [[0.1663, 0.8337, 0.5000], [0.8337, 0.1663, 0.5000], [0.5000, 0.5000, 0.5000], [0.3332, 0.6668, 0.0000], [0.6668, 0.3332, 0.0000], [0.9177, 0.5914, 0.7534], [0.7561, 0.7561, 0.2463], [0.0823, 0.4086, 0.2466], [0.5914, 0.9177, 0.7534], [0.2439, 0.2439, 0.7537], [0.4086, 0.0823, 0.2466], [0.0000, 0.0000, 0.0000]]
}

---

No. 6
{
  "formula": "TbPmErZr",
  "functional": "PBE",
  "state": "optimized geometry",
  "dos_ef_per_ev_cell": 7.21,
  "total_magnetization_mub_per_cell": 2.30,
  "delta_e_f_ev_per_atom": 0.227,
  "sg": "F-43m (216)",
  "lattice": [[5.5227, 0.0000, 0.0000], [2.7614, 4.7828, 0.0000], [2.7614, 1.5943, 4.5093]],
  "species": ["Pm", "Tb", "Zr", "Er"],
  "frac_coords": [[0.0000, 0.0000, 0.0000], [0.7500, 0.7500, 0.7500], [0.2500, 0.2500, 0.2500], [0.5000, 0.5000, 0.5000]]
}